1.
Compound: RbNiTe2N
Source: Alexandria via LeMat-Bulk
Functional: PBE
Structure: relaxed

a = 6.451 Å, b = 6.451 Å, c = 5.110 Å
α = 90.00°, β = 90.00°, γ = 90.00°
Space group P4/mmm (No. 123)
Symmetry-distinct sites (fractional):
Rb  0.000  0.000  0.000 x1
Ni  0.500  0.500  0.500 x1
Te  0.000  0.500  0.000 x2
N  0.000  0.000  0.500 x1

Computed properties:
**Excess energy over the best structure of this formula in the dataset**: 1893.3 meV per atom
**DFT total energy**: -2.21 eV per atom
**Uncorrected formation energy**: 198.8 kJ/mol of atoms

2.
Compound: LaPrTeP
Source: Alexandria via LeMat-Bulk
Functional: PBE
Structure: relaxed

a = 4.2812 Å, b = 4.2812 Å, c = 22.8817 Å
α = 90.00°, β = 90.00°, γ = 120.00°
Space group R3m (No. 160, hexagonal axes)
Symmetry-distinct sites (fractional):
La  0.0000  0.0000  0.0000 x3
Pr  0.0000  0.0000  0.1921 x3
Te  0.0000  0.0000  0.4297 x3
P  0.0000  0.0000  0.5966 x3

Computed properties:
**DFT total energy**: -6.14 eV per atom
**Uncorrected formation energy**: -151.8 kJ/mol of atoms

3.
Compound: Pr2NdHoBi5
Source: Alexandria via LeMat-Bulk
Functional: PBE
Structure: relaxed

a = 5.581 Å, b = 5.581 Å, c = 11.966 Å
α = 90.00°, β = 90.00°, γ = 90.00°
Space group P4/mmm (No. 123)
Symmetry-distinct sites (fractional):
Pr  0.000  0.000  0.223 x2
Nd  0.500  0.500  0.000 x1
Ho  0.500  0.500  0.500 x1
Bi  0.000  0.000  0.500 x1
Bi  0.000  0.500  0.000 x2
Bi  0.500  0.500  0.257 x2

Computed properties:
**DFT total energy**: -4.30 eV per atom
**ΔH_f (0 K)**: -40 meV per atom

4.
Compound: Pr2Tm3Si4
Source: Alexandria via LeMat-Bulk
Functional: PBE
Structure: relaxed

a = 7.712 Å, b = 7.763 Å, c = 7.447 Å
α = 90.00°, β = 107.34°, γ = 90.00°
Space group P2_1/c (No. 14)
Symmetry-distinct sites (fractional):
Pr  0.196  0.175  0.079 x4
Tm  0.247  0.679  0.252 x4
Tm  0.500  0.000  0.500 x2
Si  0.078  0.533  0.876 x4
Si  0.494  0.119  0.875 x4

Computed properties:
**DFT total energy**: -5.73 eV per atom
**Uncorrected formation energy**: -73.7 kJ/mol of atoms

5.
Compound: SrGdSn
Source: Alexandria via LeMat-Bulk
Functional: PBE
Structure: relaxed

a = 3.687 Å, b = 3.687 Å, c = 15.052 Å
α = 90.00°, β = 90.00°, γ = 90.00°
Space group I4mm (No. 107)
Symmetry-distinct sites (fractional):
Sr  0.000  0.000  0.000 x2
Gd  0.000  0.000  0.286 x2
Sn  0.000  0.000  0.654 x2

Computed properties:
**Excess energy over the best structure of this formula in the dataset**: 23.8 meV per atom
**DFT total energy**: -6.97 eV per atom
**ΔH_f (0 K)**: -381 meV per atom

6.
Compound: Sr5As2NCl
Source: Alexandria via LeMat-Bulk
Functional: PBE
Structure: relaxed

a = 5.013 Å, b = 7.645 Å, c = 14.986 Å
α = 90.00°, β = 90.00°, γ = 90.00°
Space group Immm (No. 71)
Symmetry-distinct sites (fractional):
Sr  0.000  0.000  0.000 x2
Sr  0.000  0.274  0.361 x8
As  0.000  0.000  0.207 x4
N  0.000  0.500  0.500 x2
Cl  0.000  0.500  0.000 x2

Computed properties:
**DFT total energy**: -4.22 eV per atom
**Uncorrected formation energy**: -107.9 kJ/mol of atoms

7.
Compound: SrCr2Sb2
Source: Alexandria via LeMat-Bulk
Functional: PBE
Structure: relaxed

a = 3.777 Å, b = 3.777 Å, c = 15.887 Å
α = 90.00°, β = 90.00°, γ = 90.00°
Space group I4/mmm (No. 139)
Symmetry-distinct sites (fractional):
Sr  0.000  0.000  0.000 x2
Cr  0.000  0.500  0.250 x4
Sb  0.000  0.000  0.367 x4

Computed properties:
**DFT total energy**: -5.88 eV per atom
**Uncorrected formation energy**: -3.9 kJ/mol of atoms

8.
Compound: ZnCdBi2
Source: Alexandria via LeMat-Bulk
Functional: PBE
Structure: relaxed

a = 3.4099 Å, b = 3.4099 Å, c = 33.6527 Å
α = 90.00°, β = 90.00°, γ = 120.00°
Space group R-3m (No. 166, hexagonal axes)
Symmetry-distinct sites (fractional):
Zn  0.0000  0.0000  0.0000 x3
Cd  0.0000  0.0000  0.5000 x3
Bi  0.0000  0.0000  0.4028 x6

Computed properties:
**Excess energy over the best structure of this formula in the dataset**: 29.3 meV per atom
**DFT total energy**: -2.33 eV per atom
**ΔH_f (0 K)**: 154 meV per atom

9.
Compound: BaBiTeO6
Source: Alexandria via LeMat-Bulk
Functional: PBE
Structure: relaxed

a = 5.6845 Å, b = 5.6845 Å, c = 5.7271 Å
α = 90.00°, β = 90.00°, γ = 120.00°
Space group P312 (No. 149)
Symmetry-distinct sites (fractional):
Ba  0.0000  0.0000  0.0000 x1
Bi  0.3333  0.6667  0.5000 x1
Te  0.6667  0.3333  0.5000 x1
O  0.4007  0.0381  0.7010 x6

Computed properties:
**DFT total energy**: -5.80 eV per atom
**Uncorrected formation energy**: -145.1 kJ/mol of atoms

10.
Compound: CeDyMnCu
Source: Alexandria via LeMat-Bulk
Functional: PBE
Structure: relaxed

a = 6.967 Å, b = 6.967 Å, c = 6.967 Å
α = 90.00°, β = 90.00°, γ = 90.00°
Space group F-43m (No. 216)
Symmetry-distinct sites (fractional):
Ce  0.000  0.000  0.000 x4
Dy  0.000  0.000  0.500 x4
Mn  0.250  0.250  0.250 x4
Cu  0.250  0.250  0.750 x4

Computed properties:
**DFT total energy**: -5.89 eV per atom
**ΔH_f (0 K)**: 65 meV per atom

11.
Compound: Zr3TlIr
Source: Alexandria via LeMat-Bulk
Functional: PBE
Structure: relaxed

a = 5.086 Å, b = 5.086 Å, c = 5.086 Å
α = 90.00°, β = 90.00°, γ = 90.00°
Space group Pm-3m (No. 221)
Symmetry-distinct sites (fractional):
Zr  0.000  0.000  0.500 x3
Tl  0.500  0.500  0.500 x1
Ir  0.000  0.000  0.000 x1

Computed properties:
**Excess energy over the best structure of this formula in the dataset**: 0.0 meV per atom
**DFT total energy**: -7.30 eV per atom
**ΔH_f (0 K)**: 77 meV per atom

12.
Compound: CsRbNb3
Source: Alexandria via LeMat-Bulk
Functional: PBE
Structure: relaxed

a = 5.181 Å, b = 5.181 Å, c = 5.181 Å
α = 90.00°, β = 90.00°, γ = 90.00°
Space group Pm-3m (No. 221)
Symmetry-distinct sites (fractional):
Cs  0.000  0.000  0.000 x1
Rb  0.500  0.500  0.500 x1
Nb  0.000  0.500  0.500 x3

Computed properties:
**Excess energy over the best structure of this formula in the dataset**: 335.7 meV per atom
**DFT total energy**: -3.30 eV per atom
**ΔH_f (0 K)**: 3108 meV per atom

13.
Compound: Pr2NdYAs4
Source: Alexandria via LeMat-Bulk
Functional: PBE
Structure: relaxed

a = 7.366 Å, b = 4.258 Å, c = 7.367 Å
α = 90.00°, β = 109.47°, γ = 90.00°
Space group P2/m (No. 10)
Symmetry-distinct sites (fractional):
Pr  0.000  0.000  0.000 x1
Pr  0.000  0.500  0.500 x1
Nd  0.500  0.000  0.500 x1
Y  0.500  0.500  0.000 x1
As  0.255  0.500  0.248 x2
As  0.258  0.000  0.756 x2

Computed properties:
**DFT total energy**: -6.43 eV per atom
**ΔH_f (0 K)**: -1511 meV per atom

14.
Compound: DyTmGaRh
Source: Alexandria via LeMat-Bulk
Functional: PBE
Structure: relaxed

a = 4.333 Å, b = 3.833 Å, c = 10.638 Å
α = 90.00°, β = 90.00°, γ = 90.00°
Space group Amm2 (No. 38)
Symmetry-distinct sites (fractional):
Dy  0.000  0.000  0.000 x2
Tm  0.500  0.000  0.282 x2
Ga  0.000  0.000  0.715 x2
Rh  0.500  0.000  0.569 x2

Computed properties:
**Excess energy over the best structure of this formula in the dataset**: 0.0 meV per atom
**DFT total energy**: -5.61 eV per atom
**ΔH_f (0 K)**: -751 meV per atom

15.
Compound: CsMo2PdPb
Source: Alexandria via LeMat-Bulk
Functional: PBE
Structure: relaxed

a = 5.147 Å, b = 5.147 Å, c = 5.877 Å
α = 90.00°, β = 90.00°, γ = 90.00°
Space group P4/mmm (No. 123)
Symmetry-distinct sites (fractional):
Cs  0.000  0.000  0.000 x1
Mo  0.000  0.500  0.500 x2
Pd  0.000  0.000  0.500 x1
Pb  0.500  0.500  0.000 x1

Computed properties:
**DFT total energy**: -4.54 eV per atom
**ΔH_f (0 K)**: 1745 meV per atom

16.
Compound: Sm8SnPb5
Source: Alexandria via LeMat-Bulk
Functional: PBE
Structure: relaxed

a = 9.583 Å, b = 9.583 Å, c = 9.573 Å
α = 90.00°, β = 90.00°, γ = 90.00°
Space group I-4 (No. 82)
Symmetry-distinct sites (fractional):
Sm  0.069  0.183  0.306 x8
Sm  0.069  0.320  0.946 x8
Sn  0.000  0.500  0.250 x2
Pb  0.000  0.000  0.000 x2
Pb  0.125  0.250  0.626 x8

Computed properties:
**DFT total energy**: -4.91 eV per atom
**ΔH_f (0 K)**: -601 meV per atom

17.
Compound: Pm4SmY
Source: Alexandria via LeMat-Bulk
Functional: PBE
Structure: relaxed

a = 7.099 Å, b = 12.009 Å, c = 9.750 Å
α = 90.00°, β = 90.00°, γ = 90.00°
Space group Cmcm (No. 63)
Symmetry-distinct sites (fractional):
Pm  0.000  0.178  0.073 x8
Pm  0.218  0.079  0.750 x8
Sm  0.000  0.315  0.750 x4
Y  0.000  0.500  0.000 x4

Computed properties:
**Excess energy over the best structure of this formula in the dataset**: 180.5 meV per atom
**DFT total energy**: -4.79 eV per atom
**ΔH_f (0 K)**: 236 meV per atom

18.
Compound: LiErGaRu
Source: Alexandria via LeMat-Bulk
Functional: PBE
Structure: relaxed

a = 6.475 Å, b = 6.475 Å, c = 6.475 Å
α = 90.00°, β = 90.00°, γ = 90.00°
Space group F-43m (No. 216)
Symmetry-distinct sites (fractional):
Li  0.000  0.000  0.000 x4
Er  0.250  0.250  0.750 x4
Ga  0.250  0.250  0.250 x4
Ru  0.000  0.000  0.500 x4

Computed properties:
**DFT total energy**: -5.04 eV per atom
**ΔH_f (0 K)**: -343 meV per atom

19.
Compound: Tl2HBr
Source: Alexandria via LeMat-Bulk
Functional: PBE
Structure: relaxed

a = 5.385 Å, b = 5.385 Å, c = 3.840 Å
α = 90.00°, β = 90.00°, γ = 90.00°
Space group P4/mmm (No. 123)
Symmetry-distinct sites (fractional):
Tl  0.000  0.500  0.000 x2
H  0.000  0.000  0.500 x1
Br  0.500  0.500  0.500 x1

Computed properties:
**Excess energy over the best structure of this formula in the dataset**: 139.3 meV per atom
**DFT total energy**: -2.49 eV per atom

20.
Compound: TcRhAu
Source: Alexandria via LeMat-Bulk
Functional: PBE
Structure: relaxed

a = 2.7848 Å, b = 2.7848 Å, c = 6.9538 Å
α = 90.00°, β = 90.00°, γ = 120.00°
Space group P3m1 (No. 156)
Symmetry-distinct sites (fractional):
Tc  0.0000  0.0000  0.0000 x1
Rh  0.6667  0.3333  0.7035 x1
Au  0.3333  0.6667  0.3500 x1

Computed properties:
**Excess energy over the best structure of this formula in the dataset**: 118.7 meV per atom
**DFT total energy**: -6.89 eV per atom
**ΔH_f (0 K)**: 108 meV per atom

Calculated total moment in order - 1.158; 0.000; 0.000; 0.000; 2.472; 0.000; 0.131; 0.000; 0.001; 0.416; 0.000; 0.119; 0.000; 0.000; 1.220; 0.000; 0.000; 0.000; 0.000; 0.000 μB per atom
Calculated ρ in order - 3.2; 6.0; 7.3; 7.0; 5.9; 3.7; 6.4; 8.8; 5.9; 8.3; 8.5; 5.9; 6.2; 9.5; 6.8; 8.9; 6.5; 8.4; 7.3; 14.1 g/cm³
Calculated D(E_F) in order - 11.87; 2.92; 6.00; 7.63; 4.22; 0.93; 4.25; 1.71; 4.14; 6.24; 8.02; 9.97; 0.68; 2.73; 9.14; 1.58; 9.36; 1.67; 0.03; 3.56 states/eV/f.u.